VASP calculation (PBE) on TaSn3Te after structural relaxation.

POSCAR file:
```
TaSn3Te
1.0
-1.647 5.242 -1.034
-0.261 -1.160 -5.463
-5.336 -1.561 0.587
Te Sn Ta
1 3 1
Cartesian
0.000 0.000 0.000
-0.131 -0.580 -2.732
-2.668 -0.781 0.293
-0.824 2.621 -0.517
-3.622 1.260 -2.955
```

Magnetization = 0.00 μB per formula unit
ΔE to the lowest computed polymorph = 1.150 eV/atom
Formation energy from raw total energies = 1.63 eV/atom